(1)
Computed, not measured: a relaxed structure of YBeP at the PBE level of DFT.

abc: 5.8327 5.8327 5.8327
angles: 90.00 90.00 90.00
Closest atoms and distances in Å follow each position.
Fractional positions:
1 Y 0.0000 0.0000 0.0000  4 Be 2.53
2 Y 0.0000 0.5000 0.5000  4 Be 2.53
3 Y 0.5000 0.0000 0.5000  4 Be 2.53
4 Y 0.5000 0.5000 0.0000  4 Be 2.53
5 Be 0.2500 0.2500 0.7500  4 Y 2.53, 4 P 2.53
6 Be 0.2500 0.7500 0.2500  4 Y 2.53, 4 P 2.53
7 Be 0.7500 0.2500 0.2500  4 Y 2.53, 4 P 2.53
8 Be 0.7500 0.7500 0.7500  4 P 2.53, 4 Y 2.53
9 P 0.0000 0.0000 0.5000  4 Be 2.53
10 P 0.0000 0.5000 0.0000  4 Be 2.53
11 P 0.5000 0.0000 0.0000  4 Be 2.53
12 P 0.5000 0.5000 0.5000  4 Be 2.53

DFT formation energy	-0.65	eV per formula unit
energy relative to the lowest polymorph listed for this composition	795	meV/atom
density	4.3	g/cm³
symmetry	F-43m
total magnetization	0.000	μB per atom



(2)
Computed, not measured: a relaxed structure of NaSr2In at the PBE level of DFT.

abc: 9.4709 9.4709 7.5902
angles: 90.00 90.00 90.00
Closest atoms and distances in Å follow each position.
Fractional positions:
1 Na 0.0000 0.0000 0.0000  4 Sr 3.64, 2 In 3.80
2 Na 0.0000 0.5000 0.2500  4 Sr 3.64, 2 In 3.80
3 Na 0.5000 0.0000 0.7500  4 Sr 3.64, 2 In 3.80
4 Na 0.5000 0.5000 0.5000  4 Sr 3.64, 2 In 3.80
5 Sr 0.2256 0.7500 0.6250  2 In 3.33, 2 Na 3.64
6 Sr 0.2500 0.2256 0.3750  2 In 3.33, 2 Na 3.64
7 Sr 0.2500 0.2744 0.8750  2 In 3.33, 2 Na 3.64
8 Sr 0.2744 0.7500 0.1250  2 In 3.33, 2 Na 3.64
9 Sr 0.7256 0.2500 0.1250  2 In 3.33, 2 Na 3.64
10 Sr 0.7500 0.7256 0.8750  2 In 3.33, 2 Na 3.64
11 Sr 0.7500 0.7744 0.3750  2 In 3.33, 2 Na 3.64
12 Sr 0.7744 0.2500 0.6250  2 In 3.33, 2 Na 3.64
13 In 0.0000 0.0000 0.5000  4 Sr 3.33
14 In 0.0000 0.5000 0.7500  4 Sr 3.33
15 In 0.5000 0.0000 0.2500  4 Sr 3.33
16 In 0.5000 0.5000 0.0000  4 Sr 3.33

DFT formation energy	0.12	eV per formula unit
density	3.1	g/cm³
symmetry	I-42d
total magnetization	0.000	μB per atom



(3)
Computed, not measured: a relaxed structure of DyTm4Al5 at the PBE level of DFT.

abc: 3.5441 3.5441 17.9573
angles: 90.00 90.00 90.00
Closest atoms and distances in Å follow each position.
Fractional positions:
1 Dy 0.0000 0.0000 0.0000  8 Al 3.12
2 Tm 0.0000 0.0000 0.2025  8 Al 3.07
3 Tm 0.0000 0.0000 0.4009  8 Al 3.07-3.08
4 Tm 0.0000 0.0000 0.5991  8 Al 3.07-3.08
5 Tm 0.0000 0.0000 0.7975  8 Al 3.07
6 Al 0.5000 0.5000 0.1034  4 Tm 3.07, 4 Dy 3.12
7 Al 0.5000 0.5000 0.3016  8 Tm 3.07-3.08
8 Al 0.5000 0.5000 0.5000  8 Tm 3.07
9 Al 0.5000 0.5000 0.6984  8 Tm 3.07-3.08
10 Al 0.5000 0.5000 0.8966  4 Tm 3.07, 4 Dy 3.12

DFT formation energy	-3.88	eV per formula unit
density	7.2	g/cm³
symmetry	P4/mmm
total magnetization	0.000	μB per atom



(4)
Computed, not measured: a relaxed structure of CaBeTeO6 at the PBE level of DFT.

abc: 4.9822 4.9822 10.3114
angles: 90.00 90.00 120.00
Closest atoms and distances in Å follow each position.
Fractional positions:
1 Ca 0.0000 0.0000 0.0000  6 O 2.37
2 Ca 0.0000 0.0000 0.5000  6 O 2.37
3 Be 0.3333 0.6667 0.2500  6 O 1.87
4 Be 0.6667 0.3333 0.7500  6 O 1.87
5 Te 0.3333 0.6667 0.7500  6 O 1.94
6 Te 0.6667 0.3333 0.2500  6 O 1.94
7 O 0.0118 0.3704 0.1481  1 Be 1.87, 1 Te 1.94
8 O 0.0118 0.6414 0.3519  1 Be 1.87, 1 Te 1.94
9 O 0.3586 0.3704 0.3519  1 Be 1.87, 1 Te 1.94
10 O 0.3586 0.9882 0.1481  1 Be 1.87, 1 Te 1.94
11 O 0.3704 0.0118 0.6481  1 Be 1.87, 1 Te 1.94
12 O 0.3704 0.3586 0.8519  1 Be 1.87, 1 Te 1.94
13 O 0.6296 0.6414 0.1481  1 Be 1.87, 1 Te 1.94
14 O 0.6296 0.9882 0.3519  1 Be 1.87, 1 Te 1.94
15 O 0.6414 0.0118 0.8519  1 Be 1.87, 1 Te 1.94
16 O 0.6414 0.6296 0.6481  1 Be 1.87, 1 Te 1.94
17 O 0.9882 0.3586 0.6481  1 Be 1.87, 1 Te 1.94
18 O 0.9882 0.6296 0.8519  1 Be 1.87, 1 Te 1.94

density	4.1	g/cm³
symmetry	P-31c
total magnetization	0.222	μB per atom
ΔE_f (raw)	-1.455	eV per atom



(5)
Computed, not measured: a relaxed structure of CeP2OsRu at the PBE level of DFT.

abc: 4.0838 4.0838 9.7778
angles: 90.00 90.00 90.00
Closest atoms and distances in Å follow each position.
Fractional positions:
1 Ce 0.0000 0.0000 0.0000  8 P 3.14, 4 Os 3.19, 4 Ru 3.19
2 Ce 0.5000 0.5000 0.5000  8 P 3.14, 4 Os 3.19, 4 Ru 3.19
3 P 0.0000 0.0000 0.3736  2 Ru 2.37, 2 Os 2.37, 1 P 2.47
4 P 0.0000 0.0000 0.6264  2 Os 2.37, 2 Ru 2.37, 1 P 2.47
5 P 0.5000 0.5000 0.1264  2 Os 2.37, 2 Ru 2.37, 1 P 2.47
6 P 0.5000 0.5000 0.8736  2 Ru 2.37, 2 Os 2.37, 1 P 2.47
7 Os 0.0000 0.5000 0.2500  4 P 2.37
8 Os 0.5000 0.0000 0.7500  4 P 2.37
9 Ru 0.0000 0.5000 0.7500  4 P 2.37
10 Ru 0.5000 0.0000 0.2500  4 P 2.37

DFT formation energy	-4.45	eV per formula unit
density	10.0	g/cm³
symmetry	I-4m2
total magnetization	0.057	μB per atom



(6)
Computed, not measured: a relaxed structure of SrCaRh2 at the PBE level of DFT.

abc: 3.3615 4.8666 11.0337
angles: 90.00 90.00 90.00
Closest atoms and distances in Å follow each position.
Fractional positions:
1 Sr 0.0000 0.0000 0.0000  6 Rh 3.01-3.34, 2 Sr 3.36
2 Sr 0.5000 0.5000 0.5000  6 Rh 3.01-3.34, 2 Sr 3.36
3 Ca 0.0000 0.5000 0.7836  4 Rh 3.00
4 Ca 0.5000 0.0000 0.2836  4 Rh 3.00
5 Rh 0.0000 0.0000 0.5509  2 Rh 2.66
6 Rh 0.0000 0.5000 0.2382  2 Rh 2.66
7 Rh 0.5000 0.0000 0.7382  2 Rh 2.66
8 Rh 0.5000 0.5000 0.0509  2 Rh 2.66

DFT formation energy	-0.47	eV per formula unit
density	6.1	g/cm³
symmetry	Imm2
total magnetization	0.000	μB per atom